Material: LiThAgTe3
Method: DFT, PBE
State: relaxed

Output
Volume: 30.546 Å³/atom
Energy relative to the elements, uncorrected: -79.7 kJ/mol of atoms

Cell and atoms, written as extended XYZ:
```
12
Lattice="9.3182 0.0000 0.0000 0.0000 4.3307 0.0000 -2.6056 0.0000 9.0833" Properties=species:S:1:pos:R:3 pbc="T T T"
Li 0.6076 1.0827 0.9310
Li 6.1049 3.2480 8.1523
Th 0.4945 3.2480 7.3301
Th 6.2180 1.0827 1.7532
Ag 1.5467 3.2480 3.8854
Ag 5.1659 1.0827 5.1979
Te -1.9628 1.0827 6.9609
Te 3.2337 1.0827 0.5730
Te 2.0956 1.0827 5.6514
Te 4.6170 3.2480 3.4319
Te 3.4788 3.2480 8.5103
Te 8.6754 3.2480 2.1224
```



Material: LiTiAgTe3
Method: DFT, PBE
State: relaxed

Output
Volume: 26.157 Å³/atom
Energy relative to the elements, uncorrected: -54.2 kJ/mol of atoms

Cell and atoms, written as extended XYZ:
```
12
Lattice="8.3372 0.0000 0.0000 0.0000 3.9881 0.0000 -2.3603 0.0000 9.4404" Properties=species:S:1:pos:R:3 pbc="T T T"
Li 0.8066 0.9970 1.6676
Li 5.1703 2.9911 7.7728
Ti 0.0016 2.9911 6.3913
Ti 5.9753 0.9970 3.0491
Ag 1.4534 0.9970 8.4543
Ag 4.5235 2.9911 0.9861
Te -0.3228 2.9911 3.4512
Te -0.4872 2.9911 9.1324
Te 1.8193 0.9970 5.7748
Te 4.1576 2.9911 3.6656
Te 6.4640 0.9970 0.3080
Te 6.2997 0.9970 5.9892
```



Material: LiTl2AgTe2
Method: DFT, PBE
State: relaxed

Output
Volume: 29.557 Å³/atom
Energy relative to the elements, uncorrected: -42.2 kJ/mol of atoms

Cell and atoms, written as extended XYZ:
```
12
Lattice="-3.3427 7.9224 3.3484 3.3427 -7.9224 3.3484 3.3427 7.9224 -3.3484" Properties=species:S:1:pos:R:3 pbc="T T T"
Li 0.0000 0.0000 1.6742
Li 0.0000 0.0000 5.0226
Tl 4.9199 2.6715 0.0000
Tl 1.5772 5.2509 0.0000
Tl 1.7655 2.6715 3.3484
Tl -1.5772 5.2509 3.3484
Ag 3.3427 0.0000 1.6742
Ag 0.0000 7.9224 1.6742
Te 1.5999 1.6578 0.0000
Te 1.5999 -1.6578 3.3484
Te 1.7427 9.5802 0.0000
Te 1.7427 6.2646 3.3484
```



Material: LiTlAgTe2
Method: DFT, PBE
State: relaxed

Output
Volume: 30.602 Å³/atom
Energy relative to the elements, uncorrected: -38.5 kJ/mol of atoms

Cell and atoms, written as extended XYZ:
```
10
Lattice="6.3361 -2.3662 0.0000 6.3361 2.3662 0.0000 -0.4962 0.0000 10.2057" Properties=species:S:1:pos:R:3 pbc="T T T"
Li 1.1865 0.0000 2.9949
Li 10.9896 0.0000 7.2108
Tl 4.5485 0.0000 1.4910
Tl 7.6276 0.0000 8.7146
Ag 3.9146 0.0000 5.4814
Ag 8.2614 0.0000 4.7243
Te 0.9514 0.0000 5.9832
Te 3.8151 0.0000 8.3085
Te 8.3609 0.0000 1.8972
Te 11.2247 0.0000 4.2225
```



Material: LiTlAgTe2
Method: DFT, PBE
State: relaxed

Output
Volume: 36.809 Å³/atom
Energy relative to the elements, uncorrected: 27.4 kJ/mol of atoms

Cell and atoms, written as extended XYZ:
```
5
Lattice="5.9085 0.0000 0.0000 0.0000 5.9085 0.0000 0.0000 0.0000 5.2720" Properties=species:S:1:pos:R:3 pbc="T T T"
Li 0.0000 0.0000 0.0000
Tl 2.9543 2.9543 2.6360
Ag 2.9543 2.9543 0.0000
Te 0.0000 2.9543 2.6360
Te 2.9543 0.0000 2.6360
```



Material: LiTm2AgTe4
Method: DFT, PBE
State: relaxed

Output
Volume: 28.644 Å³/atom
Energy relative to the elements, uncorrected: -100.2 kJ/mol of atoms

Cell and atoms, written as extended XYZ:
```
8
Lattice="7.4900 0.0000 0.0000 0.0000 4.3320 0.0000 -2.5358 0.0000 7.0624" Properties=species:S:1:pos:R:3 pbc="T T T"
Li 0.0000 0.0000 0.0000
Tm -1.2679 2.1660 3.5312
Tm 2.4771 0.0000 3.5312
Ag 3.7450 2.1660 0.0000
Te 1.2214 2.1660 1.7633
Te -0.0297 0.0000 5.3024
Te 4.9839 0.0000 1.7599
Te 3.7329 2.1660 5.2991
```



Material: Li3U3AgTe8
Method: DFT, PBE
State: relaxed

Output
Volume: 29.726 Å³/atom
Energy relative to the elements, uncorrected: -61.4 kJ/mol of atoms

Cell and atoms, written as extended XYZ:
```
15
Lattice="4.2555 2.4569 7.1083 -4.2555 2.4569 7.1083 0.0000 -4.9138 7.1083" Properties=species:S:1:pos:R:3 pbc="T T T"
Li -2.1277 -1.2285 7.1083
Li -2.1277 1.2285 14.2165
Li 0.0000 2.4569 7.1083
U -4.2555 0.0000 10.6624
U -2.1277 1.2285 3.5541
U 2.1277 1.2285 3.5541
Ag 0.0000 0.0000 10.6624
Te 0.0000 -2.4842 8.8648
Te -2.1514 1.2421 8.8648
Te -2.1514 -1.2421 12.4600
Te 0.0000 0.0000 5.4309
Te 0.0000 0.0000 15.8939
Te 2.1514 1.2421 8.8648
Te 2.1514 -1.2421 12.4600
Te 0.0000 2.4842 12.4600
```



Material: Li2UAgTe4
Method: DFT, PBE
State: relaxed

Output
Volume: 27.120 Å³/atom
Energy relative to the elements, uncorrected: -57.1 kJ/mol of atoms

Cell and atoms, written as extended XYZ:
```
8
Lattice="7.0379 0.0000 0.0000 0.0000 4.3450 0.0000 -2.3128 0.0000 7.0949" Properties=species:S:1:pos:R:3 pbc="T T T"
Li 0.0000 0.0000 0.0000
Li 3.5190 2.1725 0.0000
U -1.1564 2.1725 3.5474
Ag 2.3626 0.0000 3.5474
Te 1.1553 2.1725 1.7155
Te 0.0525 0.0000 5.3302
Te 4.6727 0.0000 1.7647
Te 3.5699 2.1725 5.3794
```



Material: LiUAg2Te4
Method: DFT, PBE
State: relaxed

Output
Volume: 28.000 Å³/atom
Energy relative to the elements, uncorrected: -27.5 kJ/mol of atoms

Cell and atoms, written as extended XYZ:
```
8
Lattice="-3.7968 3.8103 3.8709 3.7968 -3.8103 3.8709 3.7968 3.8103 -3.8709" Properties=species:S:1:pos:R:3 pbc="T T T"
Li 0.0000 0.0000 0.0000
U 0.0000 3.8103 0.0000
Ag 3.7968 2.2086 0.0000
Ag 0.0000 1.6017 3.8709
Te 1.5569 1.6101 -1.5640
Te 2.2398 -2.2003 5.4349
Te 2.2398 2.2003 2.3069
Te 1.5569 6.0106 1.5640
```



Material: LiU2AgTe5
Method: DFT, PBE
State: relaxed

Output
Volume: 27.530 Å³/atom
Energy relative to the elements, uncorrected: -52.2 kJ/mol of atoms

Cell and atoms, written as extended XYZ:
```
18
Lattice="2.1270 -9.2673 0.0000 2.1270 9.2673 0.0000 0.0000 0.0000 12.5697" Properties=species:S:1:pos:R:3 pbc="T T T"
Li 2.1270 5.5311 6.2848
Li 2.1270 -5.5311 0.0000
U 2.1270 7.1061 10.1245
U 2.1270 7.0263 2.3180
U 2.1270 -7.0263 8.6029
U 2.1270 -7.1061 3.8397
Ag 2.1270 1.7911 12.3349
Ag 2.1270 -1.7911 6.0500
Te 2.1270 8.7001 7.3266
Te 2.1270 3.8090 10.4181
Te 2.1270 3.6877 2.0565
Te 2.1270 2.6831 6.2680
Te 2.1270 0.2083 9.9679
Te 2.1270 -0.2083 3.6831
Te 2.1270 -2.6831 12.5529
Te 2.1270 -3.6877 8.3414
Te 2.1270 -3.8090 4.1332
Te 2.1270 -8.7001 1.0418
```



Material: Li3U2AgTe6
Method: DFT, PBE
State: relaxed

Output
Volume: 28.151 Å³/atom
Energy relative to the elements, uncorrected: -65.7 kJ/mol of atoms

Cell and atoms, written as extended XYZ:
```
12
Lattice="3.7284 -6.4511 0.0000 3.7284 6.4511 0.0000 -2.4895 0.0000 7.0227" Properties=species:S:1:pos:R:3 pbc="T T T"
Li 0.0000 0.0000 0.0000
Li 3.7284 2.1571 0.0000
Li 3.7284 -2.1571 0.0000
U 2.4836 4.3027 3.5113
U 2.4836 -4.3027 3.5113
Ag 2.4836 0.0000 3.5113
Te 1.2294 2.1710 1.7243
Te -0.0358 0.0000 5.3208
Te 1.2294 -2.1710 1.7243
Te 3.7378 2.1710 5.2984
Te 5.0030 0.0000 1.7019
Te 3.7378 -2.1710 5.2984
```



Material: LiV2AgTe
Method: DFT, PBE
State: relaxed

Output
Volume: 26.195 Å³/atom
Energy relative to the elements, uncorrected: 76.7 kJ/mol of atoms

Cell and atoms, written as extended XYZ:
```
5
Lattice="5.1462 0.0000 0.0000 0.0000 5.1462 0.0000 0.0000 0.0000 4.9456" Properties=species:S:1:pos:R:3 pbc="T T T"
Li 0.0000 0.0000 0.0000
V 0.0000 2.5731 2.4728
V 2.5731 0.0000 2.4728
Ag 2.5731 2.5731 0.0000
Te 0.0000 0.0000 2.4728
```